Ta3CrRe2 GGA-PBE optimized geometry; crystal system = tetragonal
1.0
-2.8758 1.2716 -0.4240
-1.3237 -2.5361 1.3723
0.6331 4.2611 8.4857
Ta Cr Re
3 1 2
Direct
0.0000 0.0000 0.0000
0.0000 0.0000 0.3392
0.0000 0.0000 0.6608
0.5000 0.5000 0.5000
0.5000 0.5000 0.1694
0.5000 0.5000 0.8306

TaCr2Re GGA-PBE optimized geometry; crystal system = trigonal; excess energy over the best structure of this formula in the dataset = 389 meV per atom
1.0
8.3178 -0.0504 -0.0297
7.8419 2.7737 -0.0297
7.8419 1.3215 2.4388
Re Cr Ta
1 2 1
Direct
0.5069 0.5069 0.5069
0.9924 0.9924 0.9924
0.2551 0.2551 0.2551
0.7456 0.7456 0.7456

TaCr2Re GGA-PBE optimized geometry; crystal system = orthorhombic; excess energy over the best structure of this formula in the dataset = 64 meV per atom
1.0
5.0245 0.0035 0.0076
4.0891 2.9197 0.0076
1.9015 0.6099 3.8975
Cr Ta Re
2 1 1
Direct
0.0034 0.0034 0.9965
0.4966 0.4966 0.5035
0.2500 0.2500 0.2500
0.7500 0.7500 0.7500

TaCr2Re GGA-PBE optimized geometry; crystal system = cubic; excess energy over the best structure of this formula in the dataset = 50 meV per atom
1.0
-3.4710 -2.2807 1.1988
0.1630 -4.3195 0.0482
0.0027 -2.1209 3.7667
Cr Ta Re
2 1 1
Direct
0.0000 0.0000 0.0000
0.2500 0.2500 0.2500
0.7500 0.7500 0.7500
0.5000 0.5000 0.5000

Going through the records in order, we get energy values of -11.985; -10.582; -10.907; -10.920 eV/atom.
Going through the records in order, we get calculated density values of 16.77; 13.51; 13.71; 13.70 g/cm3.
Going through the records in order, we get energy relative to the elements values of -306; 305; -20; -34 meV per atom.